[1]
Compound: RbTl2Hg2
Source: the Alexandria database
Functional: SCAN
Structure: PBEsol geometry

ΔH_f (0 K)   -0.140 eV per atom
Energy relative to the lowest polymorph listed for this composition   0.0460 eV per atom
Total magnetic moment   0.00 Bohr magnetons per cell

Unit cell a=9.2088 b=9.2088 c=3.4706 alpha=90.00 beta=90.00 gamma=90.00
With the nearest neighbours (Å) after each atom.
Positions (direct):
Rb 0.0000 0.0000 0.0000  2 Rb 3.47, 4 Tl 3.60, 8 Hg 3.87
Rb 0.5000 0.5000 0.0000  2 Rb 3.47, 4 Tl 3.60, 8 Hg 3.87
Tl 0.1324 0.3676 0.0000  6 Hg 3.21-3.22, 3 Tl 3.45-3.47
Tl 0.3676 0.8676 0.0000  6 Hg 3.21-3.22, 3 Tl 3.45-3.47
Tl 0.6324 0.1324 0.0000  6 Hg 3.21-3.22, 3 Tl 3.45-3.47
Tl 0.8676 0.6324 0.0000  6 Hg 3.21-3.22, 3 Tl 3.45-3.47
Hg 0.1606 0.6606 0.5000  6 Tl 3.21-3.22, 2 Hg 3.47
Hg 0.3394 0.1606 0.5000  6 Tl 3.21-3.22, 2 Hg 3.47
Hg 0.6606 0.8394 0.5000  6 Tl 3.21-3.22, 2 Hg 3.47
Hg 0.8394 0.3394 0.5000  6 Tl 3.21-3.22, 2 Hg 3.47

[2]
Compound: Ba3CeIr2O9
Source: the Alexandria database
Functional: SCAN
Structure: PBEsol geometry

Calculated total energy   -26.515 eV/atom
Total magnetic moment   0.00 Bohr magnetons per cell

Unit cell a=5.8834 b=5.8834 c=14.6665 alpha=90.00 beta=90.00 gamma=120.00
With the nearest neighbours (Å) after each atom.
Positions (direct):
Ba 0.0000 0.0000 0.2500  12 O 2.94-2.98
Ba 0.0000 0.0000 0.7500  12 O 2.94-2.98
Ba 0.3333 0.6667 0.1000  9 O 2.82-2.95
Ba 0.3333 0.6667 0.4000  9 O 2.82-2.95
Ba 0.6667 0.3333 0.6000  9 O 2.82-2.95
Ba 0.6667 0.3333 0.9000  9 O 2.82-2.95
Ce 0.0000 0.0000 0.0000  6 O 2.20
Ce 0.0000 0.0000 0.5000  6 O 2.20
Ir 0.3333 0.6667 0.6658  6 O 1.98-2.05
Ir 0.3333 0.6667 0.8342  6 O 1.98-2.05
Ir 0.6667 0.3333 0.1658  6 O 1.98-2.05
Ir 0.6667 0.3333 0.3342  6 O 1.98-2.05
O 0.0116 0.5058 0.7500  2 Ir 2.05
O 0.1755 0.3510 0.5876  1 Ir 1.98, 1 Ce 2.20
O 0.1755 0.3510 0.9124  1 Ir 1.98, 1 Ce 2.20
O 0.1755 0.8245 0.5876  1 Ir 1.98, 1 Ce 2.20
O 0.1755 0.8245 0.9124  1 Ir 1.98, 1 Ce 2.20
O 0.3510 0.1755 0.0876  1 Ir 1.98, 1 Ce 2.20
O 0.3510 0.1755 0.4124  1 Ir 1.98, 1 Ce 2.20
O 0.4942 0.5058 0.7500  2 Ir 2.05
O 0.4942 0.9884 0.7500  2 Ir 2.05
O 0.5058 0.0116 0.2500  2 Ir 2.05
O 0.5058 0.4942 0.2500  2 Ir 2.05
O 0.6490 0.8245 0.5876  1 Ir 1.98, 1 Ce 2.20
O 0.6490 0.8245 0.9124  1 Ir 1.98, 1 Ce 2.20
O 0.8245 0.1755 0.0876  1 Ir 1.98, 1 Ce 2.20
O 0.8245 0.1755 0.4124  1 Ir 1.98, 1 Ce 2.20
O 0.8245 0.6490 0.0876  1 Ir 1.98, 1 Ce 2.20
O 0.8245 0.6490 0.4124  1 Ir 1.98, 1 Ce 2.20
O 0.9884 0.4942 0.2500  2 Ir 2.05

[3]
Compound: RbP2SeCl
Source: the Alexandria database
Functional: SCAN
Structure: PBEsol geometry

Calculated total energy   -13.808 eV/atom
Total magnetic moment   0.00 Bohr magnetons per cell

Unit cell a=4.6475 b=4.6475 c=6.8782 alpha=90.00 beta=90.00 gamma=90.00
With the nearest neighbours (Å) after each atom.
Positions (direct):
Rb 0.0000 0.0000 0.0000  4 Cl 3.29
P 0.0000 0.5000 0.5000  2 Se 2.32
P 0.5000 0.0000 0.5000  2 Se 2.32
Se 0.5000 0.5000 0.5000  4 P 2.32
Cl 0.5000 0.5000 0.0000  4 Rb 3.29, 2 Se 3.44